# Rb2HfPdO4

Crystalline Rb2HfPdO4 at its relaxed geometry (PBE, Alexandria).

The energy comes out at -6.2114 eV/atom.

The space group is Fddd (No. 70, origin choice 2) and the conventional cell measures 5.6013, 13.0746 and 21.6985 Å, with angles of 90.00, 90.00 and 90.00 degrees. The distinct sites, in fractional coordinates, are Rb at (0.1250, 0.1250, 0.3133), Hf at (0.1250, 0.1250, 0.1250), Pd at (0.1250, 0.1250, 0.6250) and O at (0.1048, 0.2750, 0.4092).